{
  "formula": "SmPa5N6",
  "functional": "PBE",
  "state": "optimized geometry",
  "formation_energy_uncorrected_ev_per_atom": -1.616,
  "final_energy_ev_per_atom": -10.128,
  "lattice": [[3.0426, -5.2633, 0.0000], [3.0426, 5.2633, 0.0000], [-2.0276, 0.0000, 5.7323]],
  "species": ["Sm", "Pa", "Pa", "Pa", "Pa", "Pa", "N", "N", "N", "N", "N", "N"],
  "frac_coords": [[0.0000, 0.0000, 0.0000], [0.1646, 0.8354, 0.5000], [0.3330, 0.6670, 0.0000], [0.5000, 0.5000, 0.5000], [0.6670, 0.3330, 0.0000], [0.8354, 0.1646, 0.5000], [0.0851, 0.4265, 0.2549], [0.2575, 0.2575, 0.7474], [0.4265, 0.0851, 0.2549], [0.5735, 0.9149, 0.7451], [0.7425, 0.7425, 0.2526], [0.9149, 0.5735, 0.7451]]
}